Entry 1:
Pr2YTm | PBE-GGA | relaxed

Excess energy over the best structure of this formula in the dataset (meV/atom): 160.6
DFT total energy (eV/atom): -4.946
Total magnetization (μB/cell): 0.4

Lattice parameters (Å, degrees): 3.5360 3.5360 37.7768 90.00 90.00 120.00
Closest atoms and distances in Å follow each position.
Space group R-3m (No. 166, hexagonal axes)
One atom of each set of equivalent atoms:
Pr 0.0000 0.0000 0.0892 [6 per cell]  1 Y 3.37, 6 Pr 3.54, 3 Tm 3.57
Y 0.0000 0.0000 0.0000 [3 per cell]  2 Pr 3.37, 6 Y 3.54
Tm 0.0000 0.0000 0.5000 [3 per cell]  6 Tm 3.54, 6 Pr 3.57

=====

Entry 2:
SiTe3 | PBE-GGA | relaxed

DFT total energy (eV/atom): -3.668
Total magnetization (μB/cell): 0.0
Uncorrected formation energy (meV/atom): 44.1

Lattice parameters (Å, degrees): 6.5633 11.3937 7.5758 90.00 90.00 90.00
Closest atoms and distances in Å follow each position.
Space group Pnma (No. 62)
One atom of each set of equivalent atoms:
Si 0.0091 0.2500 0.0892 [4 per cell]  4 Te 2.55-2.57
Te 0.1177 0.2500 0.4117 [4 per cell]  2 Si 2.55-2.57
Te 0.1322 0.0749 0.9077 [8 per cell]  1 Si 2.55, 1 Te 2.81

=====

Entry 3:
TaFe2N2 | PBE-GGA | relaxed

Excess energy over the best structure of this formula in the dataset (meV/atom): 0.0
DFT total energy (eV/atom): -8.927
Total magnetization (μB/cell): 0.0
Uncorrected formation energy (meV/atom): 159.0

Lattice parameters (Å, degrees): 3.5493 3.5493 7.7184 90.00 90.00 90.00
Closest atoms and distances in Å follow each position.
Space group I4/mmm (No. 139)
One atom of each set of equivalent atoms:
Ta 0.0000 0.0000 0.0000 [2 per cell]  8 N 2.62, 10 Fe 2.66-2.78
Fe 0.0000 0.0000 0.3447 [4 per cell]  4 N 1.92
N 0.0000 0.5000 0.2500 [4 per cell]  4 Fe 1.92

=====

Entry 4:
Lu2PtPb | PBE-GGA | relaxed

DFT total energy (eV/atom): -5.420
Total magnetization (μB/cell): 0.0

Lattice parameters (Å, degrees): 4.9102 4.9102 3.8585 90.00 90.00 90.00
Closest atoms and distances in Å follow each position.
Space group P4/mmm (No. 123)
One atom of each set of equivalent atoms:
Lu 0.0000 0.5000 0.0000 [2 per cell]  4 Pb 3.12, 4 Pt 3.12, 4 Lu 3.47
Pt 0.0000 0.0000 0.5000 [1 per cell]  8 Lu 3.12, 4 Pb 3.47
Pb 0.5000 0.5000 0.5000 [1 per cell]  8 Lu 3.12, 4 Pt 3.47

=====

Entry 5:
SrBePt2 | PBE-GGA | relaxed

DFT total energy (eV/atom): -4.833
Total magnetization (μB/cell): 0.0

Lattice parameters (Å, degrees): 3.0027 3.0352 7.3985 90.00 90.00 90.00
Closest atoms and distances in Å follow each position.
Space group Pmmm (No. 47)
One atom of each set of equivalent atoms:
Sr 0.0000 0.0000 0.0000 [1 per cell]  4 Sr 3.00-3.04, 8 Pt 3.16
Be 0.0000 0.0000 0.5000 [1 per cell]  8 Pt 2.54
Pt 0.5000 0.5000 0.3148 [2 per cell]  4 Be 2.54, 1 Pt 2.74

=====

Entry 6:
NiSnH3 | PBE-GGA | relaxed

Excess energy over the best structure of this formula in the dataset (meV/atom): 0.0
DFT total energy (eV/atom): -3.733
Total magnetization (μB/cell): 0.0

Lattice parameters (Å, degrees): 3.5981 3.5981 3.5981 90.00 90.00 90.00
Closest atoms and distances in Å follow each position.
Space group Pm-3m (No. 221)
One atom of each set of equivalent atoms:
Ni 0.0000 0.0000 0.0000 [1 per cell]  6 H 1.80
Sn 0.5000 0.5000 0.5000 [1 per cell]  12 H 2.54
H 0.0000 0.0000 0.5000 [3 per cell]  2 Ni 1.80

=====

Entry 7:
K4Nb2Ir | PBE-GGA | relaxed

DFT total energy (eV/atom): -3.288
Total magnetization (μB/cell): 4.9

Lattice parameters (Å, degrees): 6.6859 6.6859 15.8320 90.00 90.00 90.00
Closest atoms and distances in Å follow each position.
Space group I4/mmm (No. 139)
One atom of each set of equivalent atoms:
K 0.0000 0.0000 0.1933 [4 per cell]  1 Ir 3.06
K 0.0000 0.5000 0.0000 [4 per cell]  2 Ir 3.34, 4 Nb 3.51
Nb 0.0000 0.0000 0.4333 [4 per cell]  1 Nb 2.11
Ir 0.0000 0.0000 0.0000 [2 per cell]  6 K 3.06-3.34

=====

Entry 8:
PmThRe4 | PBE-GGA | relaxed

DFT total energy (eV/atom): -10.327
Total magnetization (μB/cell): 0.0

Lattice parameters (Å, degrees): 7.8018 7.8018 7.8018 90.00 90.00 90.00
Closest atoms and distances in Å follow each position.
Space group F-43m (No. 216)
One atom of each set of equivalent atoms:
Pm 0.0000 0.0000 0.0000 [4 per cell]  12 Re 3.23, 4 Th 3.38
Th 0.2500 0.2500 0.7500 [4 per cell]  12 Re 3.23, 4 Pm 3.38
Re 0.1251 0.1251 0.3749 [16 per cell]  6 Re 2.76

=====

Entry 9:
TbZnPd2 | PBE-GGA | relaxed

DFT total energy (eV/atom): -4.747
Total magnetization (μB/cell): 0.0

Lattice parameters (Å, degrees): 3.3479 3.3479 6.4556 90.00 90.00 90.00
Closest atoms and distances in Å follow each position.
Space group P4/mmm (No. 123)
One atom of each set of equivalent atoms:
Tb 0.0000 0.0000 0.0000 [1 per cell]  8 Pd 2.99, 2 Zn 3.23, 4 Tb 3.35
Zn 0.0000 0.0000 0.5000 [1 per cell]  8 Pd 2.75
Pd 0.5000 0.5000 0.2829 [2 per cell]  4 Zn 2.75, 1 Pd 2.80, 4 Tb 2.99

=====

Entry 10:
CaZrPd2 | PBE-GGA | relaxed

DFT total energy (eV/atom): -5.909
Total magnetization (μB/cell): 0.0

Lattice parameters (Å, degrees): 3.3987 3.3987 7.2542 90.00 90.00 90.00
Closest atoms and distances in Å follow each position.
Space group P4/mmm (No. 123)
One atom of each set of equivalent atoms:
Ca 0.0000 0.0000 0.0000 [1 per cell]  8 Pd 3.22, 4 Ca 3.40
Zr 0.0000 0.0000 0.5000 [1 per cell]  8 Pd 2.83
Pd 0.5000 0.5000 0.2944 [2 per cell]  4 Zr 2.83, 1 Pd 2.98

=====

Entry 11:
TmPaTc4 | PBE-GGA | relaxed

DFT total energy (eV/atom): -9.367
Total magnetization (μB/cell): 0.0

Lattice parameters (Å, degrees): 7.6130 7.6130 7.6130 90.00 90.00 90.00
Closest atoms and distances in Å follow each position.
Space group F-43m (No. 216)
One atom of each set of equivalent atoms:
Tm 0.0000 0.0000 0.0000 [4 per cell]  12 Tc 3.16, 4 Pa 3.30
Pa 0.2500 0.2500 0.2500 [4 per cell]  12 Tc 3.16, 4 Tm 3.30
Tc 0.1253 0.1253 0.6253 [16 per cell]  6 Tc 2.68-2.70

=====

Entry 12:
Rb3InAu3 | PBE-GGA | relaxed

Excess energy over the best structure of this formula in the dataset (meV/atom): 74.3
DFT total energy (eV/atom): -2.418
Total magnetization (μB/cell): 0.0

Lattice parameters (Å, degrees): 9.5768 13.6638 8.4749 90.00 94.33 90.00
Closest atoms and distances in Å follow each position.
Space group C2/m (No. 12)
One atom of each set of equivalent atoms:
Rb 0.0000 0.1536 0.0000 [4 per cell]  6 Au 3.45-3.56
Rb 0.0000 0.2391 0.5000 [4 per cell]  6 Au 3.56-3.95
Rb 0.1202 0.5000 0.8287 [4 per cell]  5 Au 3.51-3.81, 1 Rb 3.84
In 0.2377 0.0000 0.6197 [4 per cell]  4 Au 2.77-2.86
Au 0.0559 0.0000 0.3382 [4 per cell]  2 In 2.85-2.86, 1 Au 3.02
Au 0.1895 0.3390 0.1926 [8 per cell]  1 In 2.77